# 1
# PBE TbHoZr2, relaxed
# Energy relative to the elements, meV/atom: 125
# Relative energy among the computed polymorphs, eV per atom: 0.041
# Volume, Å³/atom: 26.570
data_TbHoZr2
_cell_length_a 4.694
_cell_length_b 4.694
_cell_length_c 4.824
_cell_angle_alpha 90.00
_cell_angle_beta 90.00
_cell_angle_gamma 90.00
_symmetry_space_group_name_H-M 'P 4/m m m'
_symmetry_Int_Tables_number 123
_symmetry_space_group_name_Hall '-P 4 2'
loop_
_atom_site_label
_atom_site_fract_x
_atom_site_fract_y
_atom_site_fract_z
_atom_site_occupancy
Tb1 0.000 0.000 0.000 1
Ho1 0.500 0.500 0.000 1
Zr1 0.000 0.500 0.500 1

# 2
# PBE CaBeZn2, relaxed
# Energy relative to the elements, meV/atom: 126
# Volume, Å³/atom: 21.915
data_CaBeZn2
_cell_length_a 4.752
_cell_length_b 4.752
_cell_length_c 15.526
_cell_angle_alpha 90.00
_cell_angle_beta 90.00
_cell_angle_gamma 90.00
_symmetry_space_group_name_H-M 'I 41/a m d'
_symmetry_Int_Tables_number 141
loop_
_symmetry_equiv_pos_as_xyz
'x,y,z'
'-x,-y,-z'
'-y+1/4,x+3/4,z+1/4'
'y+1/4,-x+3/4,-z+1/4'
'-x+1/2,-y,z+1/2'
'x+1/2,y,-z+1/2'
'y+1/4,-x+1/4,z+3/4'
'-y+1/4,x+1/4,-z+3/4'
'x,-y,-z'
'-x,y,z'
'-y+1/4,-x+1/4,-z+3/4'
'y+1/4,x+1/4,z+3/4'
'-x+1/2,y,-z+1/2'
'x+1/2,-y,z+1/2'
'y+1/4,x+3/4,-z+1/4'
'-y+1/4,-x+3/4,z+1/4'
'x+1/2,y+1/2,z+1/2'
'-x+1/2,-y+1/2,-z+1/2'
'-y+3/4,x+1/4,z+3/4'
'y+3/4,-x+1/4,-z+3/4'
'-x,-y+1/2,z'
'x,y+1/2,-z'
'y+3/4,-x+3/4,z+1/4'
'-y+3/4,x+3/4,-z+1/4'
'x+1/2,-y+1/2,-z+1/2'
'-x+1/2,y+1/2,z+1/2'
'-y+3/4,-x+3/4,-z+1/4'
'y+3/4,x+3/4,z+1/4'
'-x,y+1/2,-z'
'x,-y+1/2,z'
'y+3/4,x+1/4,-z+3/4'
'-y+3/4,-x+1/4,z+3/4'
loop_
_atom_site_label
_atom_site_fract_x
_atom_site_fract_y
_atom_site_fract_z
_atom_site_occupancy
Ca1 0.000 0.250 0.375 1
Be1 0.000 0.250 0.875 1
Zn1 0.000 0.000 0.000 1

# 3
# PBE MnV2Sb, relaxed
# Final energy, eV per atom: -7.9041
# Volume, Å³/atom: 14.956
data_MnV2Sb
_cell_length_a 3.827
_cell_length_b 3.827
_cell_length_c 4.085
_cell_angle_alpha 90.00
_cell_angle_beta 90.00
_cell_angle_gamma 90.00
_symmetry_space_group_name_H-M 'P 4/m m m'
_symmetry_Int_Tables_number 123
_symmetry_space_group_name_Hall '-P 4 2'
loop_
_atom_site_label
_atom_site_fract_x
_atom_site_fract_y
_atom_site_fract_z
_atom_site_occupancy
Mn1 0.000 0.000 0.000 1
V1 0.000 0.500 0.500 1
Sb1 0.500 0.500 0.000 1

# 4
# PBE Fe7Rh, relaxed
# Energy relative to the elements, meV/atom: 128
# Relative energy among the computed polymorphs, eV per atom: 0.129
# Volume, Å³/atom: 12.401
data_Fe7Rh
_cell_length_a 7.349
_cell_length_b 7.349
_cell_length_c 7.349
_cell_angle_alpha 90.00
_cell_angle_beta 90.00
_cell_angle_gamma 90.00
_symmetry_space_group_name_H-M 'F m -3 m'
_symmetry_Int_Tables_number 225
_symmetry_space_group_name_Hall '-F 4 2 3'
loop_
_atom_site_label
_atom_site_fract_x
_atom_site_fract_y
_atom_site_fract_z
_atom_site_occupancy
Fe1 0.000 0.000 0.000 1
Fe2 0.000 0.250 0.250 1
Rh1 0.000 0.000 0.500 1

# 5
# PBE As2WAu, relaxed
# Energy relative to the elements, meV/atom: 638
# Relative energy among the computed polymorphs, eV per atom: 0.459
# Volume, Å³/atom: 17.576
data_As2WAu
_cell_length_a 3.252
_cell_length_b 4.258
_cell_length_c 5.077
_cell_angle_alpha 90.00
_cell_angle_beta 90.00
_cell_angle_gamma 90.00
_symmetry_space_group_name_H-M 'P m m m'
_symmetry_Int_Tables_number 47
_symmetry_space_group_name_Hall '-P 2 2'
loop_
_atom_site_label
_atom_site_fract_x
_atom_site_fract_y
_atom_site_fract_z
_atom_site_occupancy
As1 0.000 0.000 0.000 1
As2 0.500 0.000 0.500 1
W1 0.000 0.500 0.500 1
Au1 0.500 0.500 0.000 1

# 6
# PBE PSe2IBr, relaxed
# Relative energy among the computed polymorphs, eV per atom: 0.000
# Volume, Å³/atom: 25.286
data_PSe2IBr
_cell_length_a 5.046
_cell_length_b 5.046
_cell_length_c 4.966
_cell_angle_alpha 90.00
_cell_angle_beta 90.00
_cell_angle_gamma 90.00
_symmetry_space_group_name_H-M 'P 4/m m m'
_symmetry_Int_Tables_number 123
_symmetry_space_group_name_Hall '-P 4 2'
loop_
_atom_site_label
_atom_site_fract_x
_atom_site_fract_y
_atom_site_fract_z
_atom_site_occupancy
P1 0.000 0.000 0.000 1
Se1 0.000 0.500 0.000 1
I1 0.500 0.500 0.500 1
Br1 0.000 0.000 0.500 1

# 7
# PBE NiAgBi2, relaxed
# Energy relative to the elements, meV/atom: 234
# Volume, Å³/atom: 22.138
data_NiAgBi2
_cell_length_a 7.075
_cell_length_b 7.075
_cell_length_c 7.075
_cell_angle_alpha 90.00
_cell_angle_beta 90.00
_cell_angle_gamma 90.00
_symmetry_space_group_name_H-M 'F m -3 m'
_symmetry_Int_Tables_number 225
_symmetry_space_group_name_Hall '-F 4 2 3'
loop_
_atom_site_label
_atom_site_fract_x
_atom_site_fract_y
_atom_site_fract_z
_atom_site_occupancy
Ni1 0.000 0.000 0.000 1
Ag1 0.000 0.000 0.500 1
Bi1 0.250 0.250 0.250 1

# 8
# PBE LaTl2Bi2, relaxed
# Energy relative to the elements, meV/atom: -206
# Relative energy among the computed polymorphs, eV per atom: 0.225
# Volume, Å³/atom: 33.970
data_LaTl2Bi2
_cell_length_a 8.490
_cell_length_b 8.490
_cell_length_c 4.713
_cell_angle_alpha 90.00
_cell_angle_beta 90.00
_cell_angle_gamma 90.00
_symmetry_space_group_name_H-M 'P 4/m b m'
_symmetry_Int_Tables_number 127
_symmetry_space_group_name_Hall '-P 4 2ab'
loop_
_atom_site_label
_atom_site_fract_x
_atom_site_fract_y
_atom_site_fract_z
_atom_site_occupancy
La1 0.000 0.000 0.000 1
Tl1 0.174 0.326 0.500 1
Bi1 0.130 0.630 0.000 1